First-principles (GGA-PBE) data for a relaxed structure of AcGdSnPb, as listed in the Alexandria database.

It has space group F-43m (No. 216), with a = 8.0030 Å, b = 8.0030 Å, c = 8.0030 Å, α = 90.00°, β = 90.00° and γ = 90.00°. The distinct sites, in fractional coordinates, are Ac at (0.0000, 0.0000, 0.0000), Gd at (0.0000, 0.0000, 0.5000), Sn at (0.2500, 0.2500, 0.7500) and Pb at (0.2500, 0.2500, 0.2500).

The final energy is -111.42 eV per cell. For the calculated formation energy, the calculation gives -0.49 eV per atom. As for the crystal system: cubic.

=====

First-principles (GGA-PBE) data for a relaxed structure of TcBr2Cl3, as listed in the Alexandria database.

It has space group Cm (No. 8), with a = 12.6471 Å, b = 7.3611 Å, c = 6.5757 Å, α = 90.00°, β = 115.59° and γ = 90.00°. The distinct sites, in fractional coordinates, are Tc at (0.0000, 0.0000, 0.0000), Br at (0.0963, 0.2284, 0.2908), Cl at (0.1050, 0.0000, 0.8088) and Cl at (0.3588, 0.2866, 0.8203).

The final energy is -43.15 eV per cell. The uncorrected formation energy comes out at -0.39 eV/atom. As for the crystal system: monoclinic.

=====

First-principles (GGA-PBE) data for a relaxed structure of CaBiRh2Pb, as listed in the Alexandria database.

It has space group P4/mmm (No. 123), with a = 5.0644 Å, b = 5.0644 Å, c = 5.7549 Å, α = 90.00°, β = 90.00° and γ = 90.00°. The distinct sites, in fractional coordinates, are Ca at (0.0000, 0.0000, 0.0000), Bi at (0.5000, 0.5000, 0.0000), Rh at (0.0000, 0.5000, 0.5000) and Pb at (0.5000, 0.5000, 0.5000).

The final energy is -21.35 eV per cell. For the calculated formation energy, the calculation gives 0.59 eV per atom. As for the crystal system: tetragonal.

=====

First-principles (GGA-PBE) data for a relaxed structure of Tb8BTe3Se3, as listed in the Alexandria database.

It has space group R-3m (No. 166, hexagonal axes), with a = 8.2822 Å, b = 8.2822 Å, c = 21.3170 Å, α = 90.00°, β = 90.00° and γ = 120.00°. The distinct sites, in fractional coordinates, are Tb at (0.0000, 0.0000, 0.2388), Tb at (0.0340, 0.5170, 0.2343), B at (0.0000, 0.0000, 0.5000), Te at (0.0000, 0.5000, 0.0000) and Se at (0.0000, 0.5000, 0.5000).

The final energy is -248.56 eV per cell. The uncorrected formation energy comes out at -1.28 eV/atom. As for the crystal system: trigonal.

=====

First-principles (GGA-PBE) data for a relaxed structure of Ca3Tl3Hg2, as listed in the Alexandria database.

It has space group Cmcm (No. 63), with a = 4.8042 Å, b = 11.7190 Å, c = 16.5140 Å, α = 90.00°, β = 90.00° and γ = 90.00°. The distinct sites, in fractional coordinates, are Ca at (0.0000, 0.0776, 0.1083), Ca at (0.0000, 0.3381, 0.2500), Tl at (0.0000, 0.3774, 0.0359), Tl at (0.0000, 0.3886, 0.7500) and Hg at (0.0000, 0.2108, 0.6180).

The final energy is -66.18 eV per cell. For the calculated formation energy, the calculation gives -0.35 eV per atom. Its distance to the lowest polymorph of the same formula is 28 meV per atom. As for the crystal system: orthorhombic.

=====

First-principles (GGA-PBE) data for a relaxed structure of RbSrNb, as listed in the Alexandria database.

It has space group P1 (No. 1), with a = 3.7288 Å, b = 4.7459 Å, c = 17.3229 Å, α = 85.51°, β = 87.66° and γ = 67.66°. The distinct sites, in fractional coordinates, are Rb at (0.0000, 0.0000, 0.0000), Rb at (0.3826, 0.5517, 0.7537), Sr at (0.6113, 0.4592, 0.2269), Sr at (0.7343, 0.0847, 0.5268), Nb at (0.0395, 0.5439, 0.3902) and Nb at (0.3062, 0.9995, 0.3635).

The final energy is -22.37 eV per cell. For the calculated formation energy, the calculation gives 0.51 eV per atom. Its distance to the lowest polymorph of the same formula is 109 meV per atom. As for the crystal system: triclinic.

=====

First-principles (GGA-PBE) data for a relaxed structure of Pa2AlBi, as listed in the Alexandria database.

It has space group P4/mmm (No. 123), with a = 3.3609 Å, b = 3.3609 Å, c = 8.8624 Å, α = 90.00°, β = 90.00° and γ = 90.00°. The distinct sites, in fractional coordinates, are Pa at (0.0000, 0.0000, 0.2264), Al at (0.5000, 0.5000, 0.0000) and Bi at (0.5000, 0.5000, 0.5000).

The final energy is -26.65 eV per cell. For the calculated formation energy, the calculation gives -0.01 eV per atom. Its distance to the lowest polymorph of the same formula is 0 meV per atom. As for the crystal system: tetragonal.

=====

First-principles (GGA-PBE) data for a relaxed structure of Rb2PaTeS4, as listed in the Alexandria database.

It has space group I-4 (No. 82), with a = 8.1075 Å, b = 8.1075 Å, c = 8.4043 Å, α = 90.00°, β = 90.00° and γ = 90.00°. The distinct sites, in fractional coordinates, are Rb at (0.0000, 0.0000, 0.0000), Rb at (0.0000, 0.5000, 0.2500), Pa at (0.0000, 0.5000, 0.7500), Te at (0.0000, 0.0000, 0.5000) and S at (0.1552, 0.2991, 0.5646).

The final energy is -76.51 eV per cell. The uncorrected formation energy comes out at -0.90 eV/atom. As for the crystal system: tetragonal.